# GGA-PBE LaPrDy, optimized geometry
data_LaPrDy
_chemical_formula_sum 'La2 Pr2 Dy2'
_space_group_name_H-M_alt 'I m m 2'
_space_group_IT_number 44
_space_group_name_Hall 'I 2 -2'
_cell_length_a 3.681
_cell_length_b 5.189
_cell_length_c 10.959
_cell_angle_alpha 90.00
_cell_angle_beta 90.00
_cell_angle_gamma 90.00
loop_
_atom_site_label
_atom_site_type_symbol
_atom_site_fract_x
_atom_site_fract_y
_atom_site_fract_z
La1 La 0.000 0.000 0.000
Pr1 Pr 0.000 0.000 0.668
Dy1 Dy 0.000 0.000 0.333
# magnetization = 0.0000 μB/atom
# E_form = 0.0189 eV per atom